This record from the Alexandria database describes a crystal of Te2RuC relaxed with PBEsol. The functional is SCAN.

Structure (POSCAR):
```
Te2RuC
1.0
-1.812 2.116 -1.608
-2.503 -1.023 -1.743
-6.241 1.146 5.322
Ru C Te
1 1 2
Cartesian
0.000 0.000 0.000
-5.278 1.120 0.985
-5.797 1.334 -1.364
-4.759 0.905 3.335
```

* E_form (uncorrected): 1.543 eV per atom
* energy: -28.3142 eV per atom
* V: 18.08 A^3/atom
* crystal system: trigonal